(1)
Below is Tm3Se2N after structural relaxation, with properties calculated at the PBE level.

Properties
N(E_F) (states/eV/cell): 7.812
ΔE_f (raw) (eV per atom): -1.49
Crystal system: orthorhombic
Energy (eV for the cell shown): -75.33

Cell and atoms, written as extended XYZ:
```
12
Lattice="6.7210 -3.9383 0.0000 6.7210 3.9383 0.0000 0.0000 0.0000 5.4649" Properties=species:S:1:pos:R:3 pbc="T T T"
Tm 6.7210 2.9913 2.7325
Tm 4.7538 1.7644 5.4613
Tm 8.6882 1.7644 5.4613
Tm 4.7538 -1.7644 2.7288
Tm 8.6882 -1.7644 2.7288
Tm 6.7210 -2.9913 0.0000
Se 4.6308 1.1279 2.7291
Se 4.6308 -1.1279 5.4616
Se 8.8112 1.1279 2.7291
Se 8.8112 -1.1279 5.4616
N 6.7210 2.7016 5.4572
N 6.7210 -2.7016 2.7247
```

(2)
Below is U3TiP4 after structural relaxation, with properties calculated at the PBE level.

Properties
N(E_F) (states/eV/cell): 33.049
Formation enthalpy at 0 K (eV/atom): -0.98
Crystal system: monoclinic
Energy (eV for the cell shown): -142.55

Cell and atoms, written as extended XYZ:
```
16
Lattice="6.6408 0.0000 0.0000 0.0000 7.6590 0.0000 -2.2352 0.0000 6.2799" Properties=species:S:1:pos:R:3 pbc="T T T"
U -0.5588 0.9459 1.5700
U -1.6764 2.8472 4.7099
U -0.5588 4.8118 1.5700
U -1.6764 6.7131 4.7099
U 2.7616 2.8414 1.5700
U 1.6440 4.8176 4.7099
Ti 1.6440 0.9570 4.7099
Ti 2.7616 6.7020 1.5700
P 0.5935 2.8008 3.2051
P 1.7111 4.8582 0.0651
P 1.7829 0.8730 0.0080
P 0.6653 6.7860 3.1479
P 3.7403 0.8730 3.1320
P 2.6227 6.7860 6.2719
P 2.6945 2.8008 6.2148
P 3.8121 4.8582 3.0748
```

(3)
Below is Pr2Nd3Cd after structural relaxation, with properties calculated at the PBE level.

Properties
N(E_F) (states/eV/cell): 9.831
Formation enthalpy at 0 K (eV/atom): 0.26
Crystal system: orthorhombic
Energy (eV for the cell shown): -23.19
Distance to the lowest polymorph of the same formula (kcal/mol of atoms): 8.379

Cell and atoms, written as extended XYZ:
```
6
Lattice="-1.7186 5.0871 5.9860 1.7186 -5.0871 5.9860 1.7186 5.0871 -5.9860" Properties=species:S:1:pos:R:3 pbc="T T T"
Pr 0.0000 1.7713 0.0000
Pr 0.0000 8.4029 0.0000
Nd 0.0000 0.0000 3.4538
Nd 0.0000 3.4121 3.0252
Nd 0.0000 6.7622 3.0252
Cd 0.0000 5.0871 0.2457
```

(4)
Below is Na5CeS4 after structural relaxation, with properties calculated at the PBE level.

Properties
N(E_F) (states/eV/cell): 4.366
ΔE_f (raw) (eV per atom): -1.29
Crystal system: monoclinic
Energy (eV for the cell shown): -41.95

Cell and atoms, written as extended XYZ:
```
10
Lattice="8.5992 -2.1471 0.0000 8.5992 2.1471 0.0000 -3.3644 0.0000 6.8307" Properties=species:S:1:pos:R:3 pbc="T T T"
Na 0.0000 0.0000 0.0000
Na 3.7117 0.0000 3.7875
Na 5.2669 0.0000 0.6376
Na 8.5670 0.0000 6.1931
Na 10.1223 0.0000 3.0432
Ce -1.6822 0.0000 3.4153
S 0.9897 0.0000 4.7370
S 7.7634 0.0000 1.7026
S 6.0706 0.0000 5.1281
S 12.8443 0.0000 2.0937
```

(5)
Below is LiCdHRh2 after structural relaxation, with properties calculated at the PBE level.

Properties
N(E_F) (states/eV/cell): 3.418
Crystal system: tetragonal
Energy (eV for the cell shown): -21.16
Distance to the lowest polymorph of the same formula (kcal/mol of atoms): 3.178

Cell and atoms, written as extended XYZ:
```
5
Lattice="3.8773 0.0000 0.0000 0.0000 3.8773 0.0000 0.0000 0.0000 4.2925" Properties=species:S:1:pos:R:3 pbc="T T T"
Li 0.0000 0.0000 0.0000
Cd 1.9387 1.9387 0.0000
H 1.9387 1.9387 2.1462
Rh 0.0000 1.9387 2.1462
Rh 1.9387 0.0000 2.1462
```

(6)
Below is Np3TlS6 after structural relaxation, with properties calculated at the PBE level.

Properties
N(E_F) (states/eV/cell): 59.114
ΔE_f (raw) (eV per atom): -1.18
Crystal system: monoclinic
Energy (eV for the cell shown): -155.52
Distance to the lowest polymorph of the same formula (kcal/mol of atoms): 0.000

Cell and atoms, written as extended XYZ:
```
20
Lattice="11.4684 0.0000 0.0000 0.0000 4.0429 0.0000 -3.4238 0.0000 11.8664" Properties=species:S:1:pos:R:3 pbc="T T T"
Np -0.0452 1.0107 1.7843
Np 0.5655 1.0107 8.3225
Np 2.3652 3.0322 5.2673
Np 5.6794 1.0107 6.5991
Np 7.4791 3.0322 3.5439
Np 8.0897 3.0322 10.0821
Tl 3.8978 1.0107 0.6025
Tl 4.1468 3.0322 11.2639
S -2.0600 1.0107 8.9489
S 1.3298 3.0322 0.5812
S 0.0956 3.0322 6.6239
S 2.0121 1.0107 3.5390
S 1.1702 3.0322 9.9845
S 2.9856 1.0107 7.0229
S 5.0590 3.0322 4.8435
S 6.8743 1.0107 1.8819
S 6.0325 3.0322 8.3274
S 7.9490 1.0107 5.2425
S 6.7147 1.0107 11.2853
S 10.1045 3.0322 2.9176
```